TlFeCl: optimized geometry, PBE-GGA.

a b c (Å): 3.3026 3.3026 7.4343
angles (deg): 90.00 90.00 120.00
Closest atoms and distances in Å follow each position.
Element x y z (fractional)
Tl 0.0000 0.0000 0.0000  3 Fe 2.98, 6 Tl 3.30
Fe 0.6667 0.3333 0.6920  3 Cl 2.38
Cl 0.3333 0.6667 0.4997  3 Fe 2.38

## Properties
symmetry = P3m1
Fermi-level density of states = 1.03 states/eV/atom
ΔE_f (raw) = 0.70 kcal/mol of atoms

=====

TlFeCl3: optimized geometry, PBE-GGA.

a b c (Å): 5.3036 7.6646 8.0270
angles (deg): 72.17 86.75 87.11
Closest atoms and distances in Å follow each position.
Element x y z (fractional)
Tl 0.2282 0.1854 0.1337  6 Cl 3.24-3.50
Tl 0.7718 0.8146 0.8663  6 Cl 3.24-3.50
Fe 0.0042 0.6303 0.3374  4 Cl 2.28-2.31
Fe 0.9958 0.3697 0.6626  4 Cl 2.28-2.31
Cl 0.2156 0.6378 0.5768  2 Fe 2.30-2.31
Cl 0.2366 0.1061 0.7593  1 Fe 2.28
Cl 0.2478 0.6184 0.0978  1 Fe 2.28
Cl 0.7522 0.3816 0.9022  1 Fe 2.28
Cl 0.7634 0.8939 0.2407  1 Fe 2.28
Cl 0.7844 0.3622 0.4232  2 Fe 2.30-2.31

## Properties
symmetry = P-1
Fermi-level density of states = 0.33 states/eV/atom
ΔE_f (raw) = -19.75 kcal/mol of atoms

=====

Tl2FeCl: optimized geometry, PBE-GGA.

a b c (Å): 3.4513 3.4513 7.6923
angles (deg): 90.00 90.00 90.10
Closest atoms and distances in Å follow each position.
Element x y z (fractional)
Tl 0.0000 0.0000 0.2149  4 Fe 2.95, 4 Cl 3.28
Tl 0.0000 0.0000 0.7851  4 Fe 2.95, 4 Cl 3.28
Fe 0.5000 0.5000 0.0000  8 Tl 2.95
Cl 0.5000 0.5000 0.5000  8 Tl 3.28, 4 Cl 3.45

## Properties
symmetry = Cmmm
Fermi-level density of states = 1.15 states/eV/atom
ΔE_f (raw) = 5.09 kcal/mol of atoms

=====

Tl2FeCl: optimized geometry, PBE-GGA.

a b c (Å): 3.4131 3.4037 8.1211
angles (deg): 90.00 90.16 90.00
Closest atoms and distances in Å follow each position.
Element x y z (fractional)
Tl 0.0015 0.0000 0.2052  4 Fe 2.93, 2 Cl 2.94
Tl 0.9985 0.0000 0.7948  4 Fe 2.93, 2 Cl 2.94
Fe 0.5000 0.5000 0.0000  8 Tl 2.93
Cl 0.0000 0.5000 0.5000  4 Tl 2.94

## Properties
symmetry = P2/m
Fermi-level density of states = 0.98 states/eV/atom
ΔE_f (raw) = 4.34 kcal/mol of atoms

=====

Tl3Fe2Cl8: optimized geometry, PBE-GGA.

a b c (Å): 9.7663 9.7663 9.7663
angles (deg): 43.40 43.40 43.40
Closest atoms and distances in Å follow each position.
Element x y z (fractional)
Tl 0.0000 0.0000 0.0000  6 Cl 3.38
Tl 0.2047 0.2047 0.2047  4 Cl 3.10-3.42
Tl 0.7953 0.7953 0.7953  4 Cl 3.10-3.42
Fe 0.4061 0.4061 0.4061  4 Cl 2.23-2.25
Fe 0.5939 0.5939 0.5939  4 Cl 2.23-2.25
Cl 0.2270 0.7342 0.7342  1 Fe 2.25
Cl 0.2658 0.2658 0.7730  1 Fe 2.25
Cl 0.2658 0.7730 0.2658  1 Fe 2.25
Cl 0.3218 0.3218 0.3218  1 Fe 2.23
Cl 0.6782 0.6782 0.6782  1 Fe 2.23
Cl 0.7342 0.2270 0.7342  1 Fe 2.25
Cl 0.7342 0.7342 0.2270  1 Fe 2.25
Cl 0.7730 0.2658 0.2658  1 Fe 2.25

## Properties
symmetry = R-3m
Fermi-level density of states = 0.70 states/eV/atom
ΔE_f (raw) = -21.03 kcal/mol of atoms

=====

TlFe2Cl: optimized geometry, PBE-GGA.

a b c (Å): 6.2780 6.2780 6.2780
angles (deg): 151.53 134.94 54.16
Closest atoms and distances in Å follow each position.
Element x y z (fractional)
Tl 0.0000 0.0000 0.0000  6 Fe 2.73-2.90
Fe 0.4540 0.4540 0.0000  2 Fe 2.38, 2 Cl 2.51
Fe 0.6164 0.1164 0.5000  2 Fe 2.38
Cl 0.2772 0.7772 0.5000  2 Fe 2.51

## Properties
symmetry = Imm2
Fermi-level density of states = 0.67 states/eV/atom
ΔE_f (raw) = 8.10 kcal/mol of atoms

=====

Tl4FeCl5: optimized geometry, PBE-GGA.

a b c (Å): 7.5812 7.5812 7.5812
angles (deg): 100.04 100.04 130.63
Closest atoms and distances in Å follow each position.
Element x y z (fractional)
Tl 0.0816 0.6863 0.7678  5 Cl 3.11-3.36
Tl 0.3137 0.0816 0.3953  5 Cl 3.11-3.36
Tl 0.6863 0.9184 0.6047  5 Cl 3.11-3.36
Tl 0.9184 0.3137 0.2322  5 Cl 3.11-3.36
Fe 0.4545 0.4545 0.0000  5 Cl 2.45-2.47
Cl 0.0672 0.0672 0.0000  1 Fe 2.45
Cl 0.2795 0.4067 0.6688  1 Fe 2.47
Cl 0.4067 0.7379 0.1272  1 Fe 2.47
Cl 0.6107 0.2795 0.8728  1 Fe 2.47
Cl 0.7379 0.6107 0.3312  1 Fe 2.47

## Properties
symmetry = I4
Fermi-level density of states = 1.06 states/eV/atom
ΔE_f (raw) = -16.69 kcal/mol of atoms

=====

Tl5FeCl8: optimized geometry, PBE-GGA.

a b c (Å): 9.0678 9.0678 9.0678
angles (deg): 119.92 119.92 90.14
Closest atoms and distances in Å follow each position.
Element x y z (fractional)
Tl 0.0000 0.0000 0.0000  4 Cl 3.08
Tl 0.3714 0.6264 0.2505  3 Cl 3.02-3.03
Tl 0.3736 0.6242 0.7450  3 Cl 3.02-3.03
Tl 0.3758 0.1208 0.7495  3 Cl 3.02-3.03
Tl 0.8792 0.6286 0.2550  3 Cl 3.02-3.03
Fe 0.7500 0.2500 0.5000  4 Cl 2.22
Cl 0.0492 0.3482 0.6978  1 Fe 2.22
Cl 0.1366 0.4159 0.2758  4 Tl 3.02-3.08
Cl 0.1392 0.8634 0.2793  4 Tl 3.02-3.08
Cl 0.1401 0.8608 0.7242  4 Tl 3.02-3.08
Cl 0.5841 0.8599 0.7207  4 Tl 3.02-3.08
Cl 0.6486 0.9508 0.2990  1 Fe 2.22
Cl 0.6504 0.3514 0.3022  1 Fe 2.22
Cl 0.6518 0.3496 0.7010  1 Fe 2.22

## Properties
symmetry = I-4
ΔE_f (raw) = -22.11 kcal/mol of atoms

=====

Please write out number 7 again, unchanged.
Tl4FeCl5: optimized geometry, PBE-GGA.

a b c (Å): 7.5812 7.5812 7.5812
angles (deg): 100.04 100.04 130.63
Closest atoms and distances in Å follow each position.
Element x y z (fractional)
Tl 0.0816 0.6863 0.7678  5 Cl 3.11-3.36
Tl 0.3137 0.0816 0.3953  5 Cl 3.11-3.36
Tl 0.6863 0.9184 0.6047  5 Cl 3.11-3.36
Tl 0.9184 0.3137 0.2322  5 Cl 3.11-3.36
Fe 0.4545 0.4545 0.0000  5 Cl 2.45-2.47
Cl 0.0672 0.0672 0.0000  1 Fe 2.45
Cl 0.2795 0.4067 0.6688  1 Fe 2.47
Cl 0.4067 0.7379 0.1272  1 Fe 2.47
Cl 0.6107 0.2795 0.8728  1 Fe 2.47
Cl 0.7379 0.6107 0.3312  1 Fe 2.47

## Properties
symmetry = I4
Fermi-level density of states = 1.06 states/eV/atom
ΔE_f (raw) = -16.69 kcal/mol of atoms